# CsK2Na6 PBE optimized geometry
# Final energy in eV/atom: -1.11
# N(E_F) in states/eV/f.u.: 5.18
data_CsK2Na6
_chemical_formula_sum 'Cs4 K8 Na24'
_cell_length_a 12.690
_cell_length_b 12.690
_cell_length_c 12.690
_cell_angle_alpha 90.00
_cell_angle_beta 90.00
_cell_angle_gamma 90.00
_space_group_name_H-M_alt 'F m -3 m'
_space_group_IT_number 225
_space_group_name_Hall '-F 4 2 3'
loop_
_atom_site_label
_atom_site_fract_x
_atom_site_fract_y
_atom_site_fract_z
_atom_site_occupancy
Cs1 0.000 0.000 0.000 1
K1 0.250 0.250 0.250 1
Na1 0.000 0.000 0.305 1



# P2S2Br PBE optimized geometry
# Final energy in eV/atom: -4.05
# Excess energy over the best structure of this formula in the dataset in meV per atom: 133
# Raw formation energy in eV/atom: 0.10
# N(E_F) in states/eV/f.u.: 0.23
data_P2S2Br
_chemical_formula_sum 'P8 S8 Br4'
_cell_length_a 6.377
_cell_length_b 6.377
_cell_length_c 14.122
_cell_angle_alpha 90.00
_cell_angle_beta 90.00
_cell_angle_gamma 90.00
_space_group_name_H-M_alt 'I 41 m d'
_space_group_IT_number 109
_space_group_name_Hall 'I 4bw -2'
loop_
_atom_site_label
_atom_site_fract_x
_atom_site_fract_y
_atom_site_fract_z
_atom_site_occupancy
P1 0.000 0.234 0.000 1
S1 0.000 0.266 0.246 1
Br1 0.000 0.000 0.573 1



# VRh2C PBE optimized geometry
# Final energy in eV/atom: -7.81
# N(E_F) in states/eV/f.u.: 3.79
data_VRh2C
_chemical_formula_sum 'V4 Rh8 C4'
_cell_length_a 5.062
_cell_length_b 5.062
_cell_length_c 9.592
_cell_angle_alpha 90.00
_cell_angle_beta 90.00
_cell_angle_gamma 90.00
_space_group_name_H-M_alt 'I -4 2 d'
_space_group_IT_number 122
_space_group_name_Hall 'I -4 2bw'
loop_
_atom_site_label
_atom_site_fract_x
_atom_site_fract_y
_atom_site_fract_z
_atom_site_occupancy
V1 0.000 0.000 0.000 1
Rh1 0.178 0.250 0.625 1
C1 0.000 0.000 0.500 1



# ErGaCuPt3 PBE optimized geometry
# Final energy in eV/atom: -5.59
# N(E_F) in states/eV/f.u.: 1.95
data_ErGaCuPt3
_chemical_formula_sum 'Er4 Ga4 Cu4 Pt12'
_cell_length_a 5.645
_cell_length_b 13.000
_cell_length_c 5.685
_cell_angle_alpha 90.00
_cell_angle_beta 90.00
_cell_angle_gamma 90.00
_space_group_name_H-M_alt 'C m c m'
_space_group_IT_number 63
_space_group_name_Hall '-C 2c 2'
loop_
_atom_site_label
_atom_site_fract_x
_atom_site_fract_y
_atom_site_fract_z
_atom_site_occupancy
Er1 0.000 0.169 0.250 1
Ga1 0.000 0.125 0.750 1
Cu1 0.000 0.373 0.250 1
Pt1 0.000 0.315 0.750 1
Pt2 0.244 0.500 0.000 1



# InPBrCl2 PBE optimized geometry
# Final energy in eV/atom: -2.65
# Excess energy over the best structure of this formula in the dataset in meV per atom: 0
# Raw formation energy in eV/atom: 0.05
# N(E_F) in states/eV/f.u.: 1.42
data_InPBrCl2
_chemical_formula_sum 'In1 P1 Br1 Cl2'
_cell_length_a 5.006
_cell_length_b 5.006
_cell_length_c 5.834
_cell_angle_alpha 90.00
_cell_angle_beta 90.00
_cell_angle_gamma 90.00
_space_group_name_H-M_alt 'P 4/m m m'
_space_group_IT_number 123
_space_group_name_Hall '-P 4 2'
loop_
_atom_site_label
_atom_site_fract_x
_atom_site_fract_y
_atom_site_fract_z
_atom_site_occupancy
In1 0.000 0.000 0.000 1
P1 0.000 0.000 0.500 1
Br1 0.500 0.500 0.500 1
Cl1 0.000 0.500 0.000 1



# Ac6Ru2AuBr3 PBE optimized geometry
# Final energy in eV/atom: -5.27
# Raw formation energy in eV/atom: -0.97
# N(E_F) in states/eV/f.u.: 3.12
data_Ac6Ru2AuBr3
_chemical_formula_sum 'Ac12 Ru4 Au2 Br6'
_cell_length_a 7.601
_cell_length_b 13.166
_cell_length_c 8.672
_cell_angle_alpha 90.00
_cell_angle_beta 106.88
_cell_angle_gamma 90.00
_space_group_name_H-M_alt 'C 1 2/m 1'
_space_group_IT_number 12
_space_group_name_Hall '-C 2y'
loop_
_atom_site_label
_atom_site_fract_x
_atom_site_fract_y
_atom_site_fract_z
_atom_site_occupancy
Ac1 0.210 0.000 0.196 1
Ac2 0.243 0.323 0.196 1
Ru1 0.000 0.166 0.000 1
Au1 0.000 0.500 0.000 1
Br1 0.000 0.000 0.500 1
Br2 0.000 0.330 0.500 1



# NpMnBr5 PBE optimized geometry
# Final energy in eV/atom: -5.40
# Raw formation energy in eV/atom: -1.05
# N(E_F) in states/eV/f.u.: 4.36
data_NpMnBr5
_chemical_formula_sum 'Np4 Mn4 Br20'
_cell_length_a 11.226
_cell_length_b 10.521
_cell_length_c 10.769
_cell_angle_alpha 90.00
_cell_angle_beta 119.26
_cell_angle_gamma 90.00
_space_group_name_H-M_alt 'C 1 2/c 1'
_space_group_IT_number 15
_space_group_name_Hall '-C 2yc'
loop_
_atom_site_label
_atom_site_fract_x
_atom_site_fract_y
_atom_site_fract_z
_atom_site_occupancy
Np1 0.250 0.250 0.000 1
Mn1 0.000 0.133 0.250 1
Br1 0.000 0.324 0.750 1
Br2 0.116 0.290 0.167 1
Br3 0.172 0.015 0.465 1



# KV2NiS8 PBE optimized geometry
# Final energy in eV/atom: -5.26
# Raw formation energy in eV/atom: -0.41
# N(E_F) in states/eV/f.u.: 10.51
data_KV2NiS8
_chemical_formula_sum 'K3 V6 Ni3 S24'
_cell_length_a 5.9251
_cell_length_b 5.9251
_cell_length_c 27.5115
_cell_angle_alpha 90.00
_cell_angle_beta 90.00
_cell_angle_gamma 120.00
_space_group_name_H-M_alt 'R -3'
_space_group_IT_number 148
_space_group_name_Hall '-R 3'
loop_
_atom_site_label
_atom_site_fract_x
_atom_site_fract_y
_atom_site_fract_z
_atom_site_occupancy
K1 0.0000 0.0000 0.0000 1
V1 0.0000 0.0000 0.2380 1
Ni1 0.0000 0.0000 0.5000 1
S1 0.0000 0.0000 0.3153 1
S2 0.0093 0.6956 0.5498 1



# Tb5Hg6Pb PBE optimized geometry
# Final energy in eV/atom: -2.82
# N(E_F) in states/eV/f.u.: 9.49
data_Tb5Hg6Pb
_chemical_formula_sum 'Tb10 Hg12 Pb2'
_cell_length_a 5.246
_cell_length_b 15.673
_cell_length_c 7.586
_cell_angle_alpha 90.00
_cell_angle_beta 90.00
_cell_angle_gamma 90.00
_space_group_name_H-M_alt 'C m m m'
_space_group_IT_number 65
_space_group_name_Hall '-C 2 2'
loop_
_atom_site_label
_atom_site_fract_x
_atom_site_fract_y
_atom_site_fract_z
_atom_site_occupancy
Tb1 0.000 0.000 0.000 1
Tb2 0.000 0.328 0.000 1
Tb3 0.000 0.348 0.500 1
Hg1 0.000 0.173 0.257 1
Hg2 0.000 0.500 0.226 1
Pb1 0.000 0.000 0.500 1



# LaPm3Er2 PBE optimized geometry
# Final energy in eV/atom: -4.37
# Excess energy over the best structure of this formula in the dataset in meV per atom: 33
# N(E_F) in states/eV/f.u.: 7.85
data_LaPm3Er2
_chemical_formula_sum 'La2 Pm6 Er4'
_cell_length_a 6.5615
_cell_length_b 6.5615
_cell_length_c 11.6278
_cell_angle_alpha 90.00
_cell_angle_beta 90.00
_cell_angle_gamma 120.00
_space_group_name_H-M_alt 'P 6/m m m'
_space_group_IT_number 191
_space_group_name_Hall '-P 6 2'
loop_
_atom_site_label
_atom_site_fract_x
_atom_site_fract_y
_atom_site_fract_z
_atom_site_occupancy
La1 0.3333 0.6667 0.0000 1
Pm1 0.0000 0.5000 0.2553 1
Er1 0.0000 0.0000 0.0000 1
Er2 0.0000 0.0000 0.5000 1
Er3 0.3333 0.6667 0.5000 1



# CrB3Se PBE optimized geometry
# Final energy in eV/atom: -4.25
# Excess energy over the best structure of this formula in the dataset in meV per atom: 792
# Raw formation energy in eV/atom: 2.38
# N(E_F) in states/eV/f.u.: 5.61
data_CrB3Se
_chemical_formula_sum 'Cr1 B3 Se1'
_cell_length_a 4.007
_cell_length_b 4.007
_cell_length_c 4.007
_cell_angle_alpha 90.00
_cell_angle_beta 90.00
_cell_angle_gamma 90.00
_space_group_name_H-M_alt 'P m -3 m'
_space_group_IT_number 221
_space_group_name_Hall '-P 4 2 3'
loop_
_atom_site_label
_atom_site_fract_x
_atom_site_fract_y
_atom_site_fract_z
_atom_site_occupancy
Cr1 0.000 0.000 0.000 1
B1 0.000 0.500 0.500 1
Se1 0.500 0.500 0.500 1



# Be2CrOsCl PBE optimized geometry
# Final energy in eV/atom: -4.86
# Raw formation energy in eV/atom: 1.17
# N(E_F) in states/eV/f.u.: 2.91
data_Be2CrOsCl
_chemical_formula_sum 'Be2 Cr1 Os1 Cl1'
_cell_length_a 3.929
_cell_length_b 3.929
_cell_length_c 4.281
_cell_angle_alpha 90.00
_cell_angle_beta 90.00
_cell_angle_gamma 90.00
_space_group_name_H-M_alt 'P 4/m m m'
_space_group_IT_number 123
_space_group_name_Hall '-P 4 2'
loop_
_atom_site_label
_atom_site_fract_x
_atom_site_fract_y
_atom_site_fract_z
_atom_site_occupancy
Be1 0.000 0.500 0.000 1
Cr1 0.000 0.000 0.500 1
Os1 0.500 0.500 0.500 1
Cl1 0.000 0.000 0.000 1